# 1
U4AsS5 | GGA-PBE | relaxed

abc: 3.9956 7.9305 8.8161
angles: 106.01 103.10 90.00
Closest atoms and distances in Å follow each position.
Sites, in units of the cell vectors:
U 0.3248 0.8896 0.6496  5 S 2.69-2.76, 1 As 2.89
U 0.9983 0.7352 0.9967  4 S 2.68-2.74, 2 As 2.89
U 0.6752 0.1104 0.3504  5 S 2.69-2.76, 1 As 2.89
U 0.0017 0.2648 0.0033  4 S 2.68-2.74, 2 As 2.89
As 0.5000 0.0000 0.0000  6 U 2.89
S 0.8365 0.6710 0.6730  3 U 2.68-2.69
S 0.8363 0.1360 0.6726  4 U 2.72-2.76
S 0.1637 0.8640 0.3274  4 U 2.72-2.76
S 0.5000 0.5000 0.0000  4 U 2.74
S 0.1635 0.3290 0.3270  3 U 2.68-2.69

Results
* symmetry: C2/m (12)
* D(E_F): 2.042 states/eV per atom
* E: -8.2718 eV/atom
* E_form (uncorrected): -1228 meV per atom
* crystal system: monoclinic



# 2
Tl2CdAu2 | GGA-PBE | relaxed

abc: 4.3365 6.2442 5.6435
angles: 65.60 67.73 69.86
Closest atoms and distances in Å follow each position.
Sites, in units of the cell vectors:
Tl 0.2890 0.1957 0.7270  4 Au 3.02-3.27
Tl 0.7110 0.8043 0.2730  4 Au 3.02-3.27
Cd 0.5000 0.5000 0.0000  4 Au 2.84-2.85
Au 0.9759 0.2369 0.3103  2 Cd 2.84-2.85, 1 Au 2.84, 3 Tl 3.02-3.13
Au 0.0241 0.7631 0.6897  2 Cd 2.84-2.85, 1 Au 2.84, 3 Tl 3.02-3.13

Results
* symmetry: P-1 (2)
* D(E_F): 0.382 states/eV per atom
* E: -2.4760 eV/atom
* distance to the lowest polymorph of the same formula: 0 meV per atom
* crystal system: triclinic
* DFT formation energy: -0.0355 eV/atom



# 3
ScSbPb | GGA-PBE | relaxed

abc: 5.0986 5.0986 5.0986
angles: 60.00 60.00 60.00
Closest atoms and distances in Å follow each position.
Sites, in units of the cell vectors:
Pb 0.5000 0.5000 0.5000  4 Sb 3.12
Sb 0.7500 0.7500 0.7500  4 Pb 3.12, 4 Sc 3.12
Sc 0.0000 0.0000 0.0000  4 Sb 3.12

Results
* symmetry: F-43m (216)
* D(E_F): 0.787 states/eV per atom
* E: -4.7850 eV/atom
* distance to the lowest polymorph of the same formula: 308 meV per atom
* E_form (uncorrected): -64 meV per atom
* crystal system: cubic



> Which value of D(E_F) does entry 1 give?

2.042 states/eV per atom



> Among the records above, which one has the lowest E?

U4AsS5